1.
Entry from the Alexandria database: an optimized crystal structure of PmTl4Pd15 (PBE-GGA).

M_tot (μB per formula unit): 0.000

Lattice parameters (Å, degrees): 4.121 4.121 20.397 90.00 90.00 90.00
Positions (direct):
Pm (0.000, 0.000, 0.000)
Tl (0.000, 0.000, 0.204)
Tl (0.000, 0.000, 0.401)
Tl (0.000, 0.000, 0.599)
Tl (0.000, 0.000, 0.796)
Pd (0.000, 0.500, 0.104)
Pd (0.000, 0.500, 0.302)
Pd (0.000, 0.500, 0.500)
Pd (0.000, 0.500, 0.698)
Pd (0.000, 0.500, 0.896)
Pd (0.500, 0.000, 0.104)
Pd (0.500, 0.000, 0.302)
Pd (0.500, 0.000, 0.500)
Pd (0.500, 0.000, 0.698)
Pd (0.500, 0.000, 0.896)
Pd (0.500, 0.500, 0.000)
Pd (0.500, 0.500, 0.202)
Pd (0.500, 0.500, 0.401)
Pd (0.500, 0.500, 0.599)
Pd (0.500, 0.500, 0.798)



2.
Entry from the Alexandria database: an optimized crystal structure of PmTl2Pd7 (PBE-GGA).

M_tot (μB per formula unit): 0.000

Lattice parameters (Å, degrees): 8.070 8.070 4.392 90.00 90.00 125.88
Positions (direct):
Pm (0.000, 0.000, 0.000)
Tl (0.302, 0.698, 0.500)
Tl (0.698, 0.302, 0.500)
Pd (0.081, 0.285, 0.500)
Pd (0.191, 0.809, 0.000)
Pd (0.285, 0.081, 0.500)
Pd (0.500, 0.500, 0.500)
Pd (0.715, 0.919, 0.500)
Pd (0.809, 0.191, 0.000)
Pd (0.919, 0.715, 0.500)



3.
Entry from the Alexandria database: an optimized crystal structure of Pm2TlPd (PBE-GGA).

M_tot (μB per formula unit): 0.000

Lattice parameters (Å, degrees): 8.651 8.651 8.651 27.22 27.22 27.22
Positions (direct):
Pm (0.000, 0.000, 0.000)
Pm (0.197, 0.197, 0.197)
Tl (0.765, 0.765, 0.765)
Pd (0.599, 0.599, 0.599)



Number 1: E_form -0.307 eV per atom, E -98.25 eV per cell. Number 2: E_form -0.032 eV per atom, E -46.15 eV per cell. Number 3: E_form -0.431 eV per atom, E -18.79 eV per cell.